1.
! Zn2As2PbO10 (PBE, relaxed); values from VASP
&SYSTEM
  ibrav = 0, nat = 15, ntyp = 4
/
ATOMIC_SPECIES
Zn 65.41 Zn.upf
As 74.92 As.upf
Pb 207.20 Pb.upf
O 16.00 O.upf
CELL_PARAMETERS angstrom
4.274 -3.368 0.000
4.274 3.368 0.000
-2.793 0.000 7.130
ATOMIC_POSITIONS crystal
Zn 0.000 0.500 0.000
Zn 0.500 0.000 0.000
As 0.069 0.069 0.275
As 0.931 0.931 0.725
Pb 0.500 0.500 0.500
O 0.157 0.733 0.237
O 0.182 0.182 0.123
O 0.213 0.213 0.497
O 0.267 0.843 0.763
O 0.423 0.423 0.947
O 0.577 0.577 0.053
O 0.733 0.157 0.237
O 0.787 0.787 0.503
O 0.818 0.818 0.877
O 0.843 0.267 0.763
! E_form (uncorrected)	-1053	meV per atom


2.
! ZrAs2PbO8 (PBE, relaxed); values from VASP
&SYSTEM
  ibrav = 0, nat = 12, ntyp = 4
/
ATOMIC_SPECIES
Zr 91.22 Zr.upf
As 74.92 As.upf
Pb 207.20 Pb.upf
O 16.00 O.upf
CELL_PARAMETERS angstrom
4.383 -2.848 0.000
4.383 2.848 0.000
-0.098 0.000 7.713
ATOMIC_POSITIONS crystal
Zr 0.000 0.000 0.000
As 0.358 0.358 0.230
As 0.642 0.642 0.770
Pb 0.000 0.000 0.500
O 0.223 0.719 0.203
O 0.229 0.229 0.062
O 0.281 0.777 0.797
O 0.287 0.287 0.432
O 0.713 0.713 0.568
O 0.719 0.223 0.203
O 0.771 0.771 0.938
O 0.777 0.281 0.797
! E_form (uncorrected)	-1776	meV per atom


3.
! ZrAsPbO5 (PBE, relaxed); values from VASP
&SYSTEM
  ibrav = 0, nat = 16, ntyp = 4
/
ATOMIC_SPECIES
Zr 91.22 Zr.upf
As 74.92 As.upf
Pb 207.20 Pb.upf
O 16.00 O.upf
CELL_PARAMETERS angstrom
3.719 -4.769 0.000
3.719 4.769 0.000
-3.688 0.000 7.093
ATOMIC_POSITIONS crystal
Zr 0.000 0.500 0.000
Zr 0.500 0.000 0.500
As 0.060 0.940 0.750
As 0.940 0.060 0.250
Pb 0.442 0.558 0.750
Pb 0.558 0.442 0.250
O 0.134 0.773 0.896
O 0.218 0.289 0.904
O 0.227 0.866 0.604
O 0.289 0.218 0.404
O 0.307 0.693 0.250
O 0.693 0.307 0.750
O 0.711 0.782 0.596
O 0.773 0.134 0.396
O 0.782 0.711 0.096
O 0.866 0.227 0.104
! E_form (uncorrected)	-1876	meV per atom


4.
! AsPdO4 (PBE, relaxed); values from VASP
&SYSTEM
  ibrav = 0, nat = 12, ntyp = 3
/
ATOMIC_SPECIES
As 74.92 As.upf
Pd 106.42 Pd.upf
O 16.00 O.upf
CELL_PARAMETERS angstrom
5.126 0.000 0.000
0.000 4.484 0.000
0.000 0.000 5.583
ATOMIC_POSITIONS crystal
As 0.000 0.000 0.000
As 0.000 0.500 0.500
Pd 0.500 0.000 0.700
Pd 0.500 0.500 0.200
O 0.157 0.245 0.735
O 0.157 0.255 0.235
O 0.302 0.720 0.460
O 0.302 0.780 0.960
O 0.698 0.220 0.960
O 0.698 0.280 0.460
O 0.843 0.745 0.235
O 0.843 0.755 0.735
! E_form (uncorrected)	-690	meV per atom


5.
! AsPdO4 (PBE, relaxed); values from VASP
&SYSTEM
  ibrav = 0, nat = 12, ntyp = 3
/
ATOMIC_SPECIES
As 74.92 As.upf
Pd 106.42 Pd.upf
O 16.00 O.upf
CELL_PARAMETERS angstrom
4.060 -3.113 0.000
4.060 3.113 0.000
-0.858 0.000 7.790
ATOMIC_POSITIONS crystal
As 0.056 0.944 0.750
As 0.944 0.056 0.250
Pd 0.000 0.500 0.000
Pd 0.500 0.000 0.500
O 0.084 0.277 0.784
O 0.195 0.761 0.927
O 0.239 0.805 0.573
O 0.277 0.084 0.284
O 0.723 0.916 0.716
O 0.761 0.195 0.427
O 0.805 0.239 0.073
O 0.916 0.723 0.216
! E_form (uncorrected)	-710	meV per atom


6.
! AsPd2O4 (PBE, relaxed); values from VASP
&SYSTEM
  ibrav = 0, nat = 14, ntyp = 3
/
ATOMIC_SPECIES
As 74.92 As.upf
Pd 106.42 Pd.upf
O 16.00 O.upf
CELL_PARAMETERS angstrom
12.093 0.000 0.000
0.000 2.960 0.000
-1.886 0.000 4.490
ATOMIC_POSITIONS crystal
As 0.000 0.000 0.000
As 0.500 0.500 0.000
Pd 0.203 0.500 0.651
Pd 0.297 0.000 0.349
Pd 0.703 0.000 0.651
Pd 0.797 0.500 0.349
O 0.048 0.500 0.279
O 0.148 0.000 0.969
O 0.352 0.500 0.031
O 0.452 0.000 0.721
O 0.548 0.000 0.279
O 0.648 0.500 0.969
O 0.852 0.000 0.031
O 0.952 0.500 0.721
! E_form (uncorrected)	-600	meV per atom